Here is a geometry-optimized Pr3Ho4In4 structure from the Alexandria database. Energies are from PBE.

Cell: 9.854 9.854 9.854 Å, 148.80 137.16 53.94°
Sites, in units of the cell vectors:
Pr 0.000 0.000 0.000
Pr 0.394 0.894 0.500
Pr 0.606 0.106 0.500
Ho 0.052 0.322 0.730
Ho 0.409 0.678 0.730
Ho 0.591 0.322 0.270
Ho 0.948 0.678 0.270
In 0.182 0.182 0.000
In 0.292 0.500 0.792
In 0.708 0.500 0.208
In 0.818 0.818 0.000

Computed properties:
**Energy of formation from the pure elements**: -0.2863 eV/atom
**Density**: 7.64 Mg/m³
**V**: 30.457 Å³ per atom
**Space-group type**: Immm (71)
**D(E_F)**: 10.7 states/eV/cell